The following is a PBE calculation of a relaxed GaFeIr2 crystal, from OQMD via LeMat-Bulk.

Cell lengths 4.036, 6.836, 8.073 Å; angles 90.00, 90.00, 90.00 degrees
Fractional coordinates of all 16 atoms:
Ga: 0.750 0.250 0.875
Ir: 0.250 0.000 0.875
Ir: 0.750 0.500 0.125
Ir: 0.750 0.000 0.125
Ga: 0.750 0.250 0.375
Ir: 0.250 0.500 0.375
Ga: 0.250 0.750 0.125
Fe: 0.250 0.250 0.125
Ir: 0.250 0.000 0.375
Ir: 0.250 0.500 0.875
Ir: 0.750 0.000 0.625
Fe: 0.750 0.750 0.875
Ga: 0.250 0.750 0.625
Fe: 0.750 0.750 0.375
Fe: 0.250 0.250 0.625
Ir: 0.750 0.500 0.625

Results
Its total magnetization is 3.9 μB per formula unit. As for the volume: 55.7 Å³/f.u. As for the total energy: -7.49 eV/atom. The symmetry is I4/mmm (139).

***

The following is a PBE calculation of a relaxed GdZnInSe3 crystal, from OQMD via LeMat-Bulk.

Cell lengths 14.779, 4.133, 11.170 Å; angles 90.00, 90.00, 90.00 degrees
Fractional coordinates of all 24 atoms:
Gd: 0.525 0.250 0.342
Gd: 0.025 0.250 0.158
Se: 0.081 0.750 0.613
In: 0.244 0.250 0.465
Gd: 0.475 0.750 0.658
Se: 0.919 0.250 0.387
Zn: 0.981 0.250 0.599
In: 0.756 0.750 0.535
Se: 0.142 0.750 0.252
Se: 0.419 0.250 0.113
Gd: 0.975 0.750 0.842
Se: 0.900 0.750 0.078
Se: 0.400 0.750 0.422
Zn: 0.481 0.250 0.901
Se: 0.581 0.750 0.887
Se: 0.642 0.750 0.248
Se: 0.600 0.250 0.578
In: 0.744 0.250 0.035
In: 0.256 0.750 0.965
Se: 0.858 0.250 0.748
Se: 0.100 0.250 0.922
Zn: 0.019 0.750 0.401
Se: 0.358 0.250 0.752
Zn: 0.519 0.750 0.099

Results
Its total magnetization is 0.0 μB per formula unit. As for the volume: 170.6 Å³/f.u. The energy above the most stable polymorph in this dataset is 15 meV/atom. As for the total energy: -4.25 eV/atom. The symmetry is Pnma (62).

***

The following is a PBE calculation of a relaxed Li4GdSbO6 crystal, from OQMD via LeMat-Bulk.

Cell lengths 5.520, 5.520, 5.212 Å; angles 99.05, 99.05, 121.06 degrees
Fractional coordinates of all 12 atoms:
O: 0.792 0.754 0.760
Li: 0.032 0.968 0.500
O: 0.396 0.068 0.766
O: 0.246 0.208 0.240
Gd: 0.836 0.164 0.000
Sb: 0.167 0.833 0.000
Li: 0.642 0.358 0.500
Li: 0.323 0.677 0.500
O: 0.932 0.604 0.234
O: 0.100 0.466 0.760
O: 0.534 0.900 0.240
Li: 0.501 0.499 0.000

Results
Its total magnetization is 0.0 μB per formula unit. As for the volume: 128.9 Å³/f.u. As for the total energy: -6.01 eV/atom. The symmetry is C2 (5).

***

The following is a PBE calculation of a relaxed NbTeNO crystal, from OQMD via LeMat-Bulk.

Cell lengths 4.116, 4.116, 7.315 Å; angles 90.00, 90.00, 90.00 degrees
Fractional coordinates of all 8 atoms:
Te: 0.750 0.750 0.836
N: 0.750 0.750 0.439
Nb: 0.250 0.750 0.500
Nb: 0.750 0.250 0.500
N: 0.250 0.250 0.561
O: 0.250 0.750 0.000
Te: 0.250 0.250 0.164
O: 0.750 0.250 0.000

Results
Its total magnetization is 0.0 μB per formula unit. As for the volume: 62.0 Å³/f.u. The energy above the most stable polymorph in this dataset is 494 meV/atom. As for the total energy: -6.91 eV/atom. The symmetry is P4/nmm (129).

***

The following is a PBE calculation of a relaxed TmHgIr crystal, from OQMD via LeMat-Bulk.

Cell lengths 4.640, 4.640, 4.640 Å; angles 60.00, 60.00, 60.00 degrees
Fractional coordinates of all 3 atoms:
Hg: 0.750 0.750 0.750
Tm: 0.250 0.250 0.250
Ir: 0.000 0.000 0.000

Results
Its total magnetization is 0.0 μB per formula unit. As for the volume: 70.6 Å³/f.u. As for the total energy: -4.93 eV/atom. The energy of formation comes out at -390 meV/atom. The symmetry is F-43m (216).

***

The following is a PBE calculation of a relaxed NaNp3S6 crystal, from OQMD via LeMat-Bulk.

Cell lengths 8.265, 8.265, 6.777 Å; angles 90.00, 90.00, 101.97 degrees
Last column: magnetic moment on the atom in μB.
Fractional coordinates of all 20 atoms:
Np: 0.102 0.898 0.621  3.40
S: 0.491 0.509 0.753  -0.11
S: 0.804 0.872 0.823  -0.13
Np: 0.898 0.102 0.121  3.42
Na: 0.677 0.323 0.512  0.00
Np: 0.787 0.580 0.019  3.55
S: 0.509 0.491 0.253  -0.12
S: 0.046 0.589 0.777  -0.13
S: 0.954 0.411 0.277  -0.13
Na: 0.323 0.677 0.012  0.00
S: 0.268 0.732 0.389  -0.14
S: 0.589 0.046 0.277  -0.13
Np: 0.580 0.787 0.519  3.50
S: 0.872 0.804 0.323  -0.13
Np: 0.213 0.420 0.519  3.54
S: 0.732 0.268 0.889  -0.14
Np: 0.420 0.213 0.019  3.48
S: 0.196 0.128 0.323  -0.13
S: 0.411 0.954 0.777  -0.13
S: 0.128 0.196 0.823  -0.13

Results
Its total magnetization is 10.0 μB per formula unit. As for the volume: 226.4 Å³/f.u. As for the total energy: -7.82 eV/atom. The symmetry is Cmc2_1 (36).

***

The following is a PBE calculation of a relaxed TlCuTeWSe2 crystal, from OQMD via LeMat-Bulk.

Cell lengths 8.240, 8.240, 10.095 Å; angles 90.00, 90.00, 155.19 degrees
Last column: magnetic moment on the atom in μB.
Fractional coordinates of all 12 atoms:
Se: 0.114 0.886 0.544  0.00
W: 0.500 0.500 0.000  0.21
Tl: 0.266 0.734 0.250  0.00
Te: 0.422 0.578 0.750  -0.01
Cu: 0.043 0.957 0.750  0.01
Te: 0.578 0.422 0.250  -0.01
Se: 0.114 0.886 0.956  0.00
Se: 0.886 0.114 0.456  0.00
Se: 0.886 0.114 0.044  0.00
W: 0.500 0.500 0.500  0.21
Cu: 0.957 0.043 0.250  0.01
Tl: 0.734 0.266 0.750  0.00

Results
Its total magnetization is 0.3 μB per formula unit. As for the volume: 143.8 Å³/f.u. As for the total energy: -4.94 eV/atom. The symmetry is Cmcm (63).

***

The following is a PBE calculation of a relaxed ScAgGe crystal, from OQMD via LeMat-Bulk.

Cell lengths 6.923, 6.923, 4.059 Å; angles 90.00, 90.00, 120.00 degrees
Fractional coordinates of all 9 atoms:
Ag: 0.747 0.747 0.000
Sc: 0.418 0.418 0.500
Ge: 0.667 0.333 0.000
Sc: 0.000 0.582 0.500
Sc: 0.582 0.000 0.500
Ge: 0.333 0.667 0.000
Ag: 0.253 0.000 0.000
Ge: 0.000 0.000 0.500
Ag: 0.000 0.253 0.000

Results
Its total magnetization is 0.0 μB per formula unit. As for the volume: 56.2 Å³/f.u. As for the total energy: -5.16 eV/atom. The symmetry is P-62m (189).

***

The following is a PBE calculation of a relaxed InRe3Pb5 crystal, from OQMD via LeMat-Bulk.

Cell lengths 5.501, 5.501, 8.771 Å; angles 90.00, 90.00, 120.00 degrees
Fractional coordinates of all 9 atoms:
Pb: 0.333 0.667 0.205
Re: 0.500 0.500 0.500
Pb: 0.667 0.333 0.795
Re: 0.500 0.000 0.500
Re: 0.000 0.500 0.500
Pb: 0.000 0.000 0.500
Pb: 0.333 0.667 0.795
In: 0.000 0.000 0.000
Pb: 0.667 0.333 0.205

Results
Its total magnetization is 0.0 μB per formula unit. As for the volume: 229.8 Å³/f.u. As for the total energy: -5.96 eV/atom. The symmetry is P6/mmm (191).

***

The following is a PBE calculation of a relaxed Hg2O crystal, from OQMD via LeMat-Bulk.

Cell lengths 4.263, 4.263, 4.263 Å; angles 60.00, 60.00, 60.00 degrees
Fractional coordinates of all 3 atoms:
Hg: 0.250 0.250 0.250
O: 0.000 0.000 0.000
Hg: 0.750 0.750 0.750

Results
As for the volume: 54.8 Å³/f.u. The energy above the most stable polymorph in this dataset is 40 meV/atom. As for the total energy: -1.70 eV/atom. The symmetry is Fm-3m (225).

***

The following is a PBE calculation of a relaxed ZrTlAg3Te4 crystal, from OQMD via LeMat-Bulk.

Cell lengths 6.572, 8.568, 10.531 Å; angles 90.00, 105.40, 90.00 degrees
Fractional coordinates of all 18 atoms:
Te: 0.390 0.983 0.255
Ag: 0.285 0.523 0.500
Tl: 0.268 0.250 0.917
Zr: 0.838 0.750 0.717
Te: 0.827 0.250 0.066
Te: 0.610 0.017 0.745
Te: 0.173 0.750 0.934
Ag: 0.285 0.977 0.500
Te: 0.390 0.517 0.255
Te: 0.951 0.750 0.476
Ag: 0.715 0.023 0.500
Te: 0.610 0.483 0.745
Ag: 0.715 0.477 0.500
Zr: 0.162 0.250 0.283
Tl: 0.732 0.750 0.083
Ag: 0.665 0.250 0.287
Te: 0.049 0.250 0.524
Ag: 0.335 0.750 0.713

Results
Its total magnetization is 0.0 μB per formula unit. As for the volume: 285.9 Å³/f.u. The energy above the most stable polymorph in this dataset is 24 meV/atom. As for the total energy: -3.91 eV/atom. The symmetry is P2_1/m (11).

***

The following is a PBE calculation of a relaxed AcZnCd crystal, from OQMD via LeMat-Bulk.

Cell lengths 5.007, 5.007, 5.007 Å; angles 60.00, 60.00, 60.00 degrees
Fractional coordinates of all 3 atoms:
Ac: 0.250 0.250 0.250
Cd: 0.750 0.750 0.750
Zn: 0.000 0.000 0.000

Results
Its total magnetization is 0.2 μB per formula unit. As for the volume: 88.8 Å³/f.u. The energy above the most stable polymorph in this dataset is 32 meV/atom. As for the total energy: -2.27 eV/atom. The energy of formation comes out at -182 meV/atom. The symmetry is F-43m (216).

***

The following is a PBE calculation of a relaxed DyGaI crystal, from OQMD via LeMat-Bulk.

Cell lengths 4.198, 4.198, 12.362 Å; angles 99.86, 99.86, 60.01 degrees
Fractional coordinates of all 6 atoms:
Dy: 0.556 0.556 0.166
I: 0.278 0.278 0.330
Dy: 0.444 0.444 0.834
I: 0.722 0.722 0.670
Ga: 0.843 0.843 0.028
Ga: 0.157 0.157 0.972

Results
Its total magnetization is 0.0 μB per formula unit. As for the volume: 92.5 Å³/f.u. As for the total energy: -4.09 eV/atom. The symmetry is C2/m (12).

***

The following is a PBE calculation of a relaxed La18In3Co28 crystal, from OQMD via LeMat-Bulk.

Cell lengths 11.169, 11.169, 11.169 Å; angles 100.63, 100.63, 129.13 degrees
Last column: magnetic moment on the atom in μB.
Fractional coordinates of all 49 atoms:
Co: 0.378 0.750 0.628  0.75
Co: 0.979 0.774 0.504  0.86
Co: 0.730 0.226 0.205  0.87
La: 0.500 0.252 0.752  -0.13
Co: 0.476 0.979 0.205  0.86
La: 0.500 0.748 0.248  -0.13
Co: 0.021 0.226 0.496  0.86
Co: 0.226 0.021 0.496  0.87
Co: 0.756 0.244 0.000  0.98
Co: 0.622 0.250 0.372  0.75
La: 0.000 0.500 0.500  -0.15
Co: 0.270 0.476 0.496  0.87
Co: 0.750 0.122 0.372  0.75
La: 0.236 0.000 0.236  -0.11
Co: 0.244 0.244 0.488  0.98
La: 0.574 0.574 0.669  -0.14
La: 0.096 0.426 0.000  -0.14
In: 0.500 0.500 0.000  0.02
La: 0.904 0.574 0.000  -0.14
La: 0.096 0.096 0.669  -0.14
In: 0.163 0.163 0.000  0.05
Co: 0.122 0.750 0.372  0.75
La: 0.426 0.096 0.000  -0.14
Co: 0.476 0.270 0.496  0.86
In: 0.837 0.837 0.000  0.05
Co: 0.250 0.622 0.372  0.75
La: 0.574 0.904 0.000  -0.14
Co: 0.021 0.524 0.795  0.87
Co: 0.750 0.378 0.628  0.75
Co: 0.979 0.476 0.205  0.87
Co: 0.730 0.524 0.504  0.87
Co: 0.226 0.730 0.205  0.86
Co: 0.774 0.979 0.504  0.87
La: 0.764 0.000 0.764  -0.11
La: 0.000 0.764 0.764  -0.11
La: 0.426 0.426 0.331  -0.14
Co: 0.774 0.270 0.795  0.86
La: 0.000 0.236 0.236  -0.11
Co: 0.270 0.774 0.795  0.87
La: 0.252 0.500 0.752  -0.13
Co: 0.878 0.250 0.628  0.75
Co: 0.250 0.878 0.628  0.75
La: 0.748 0.500 0.248  -0.13
La: 0.904 0.904 0.331  -0.14
Co: 0.524 0.021 0.795  0.86
Co: 0.524 0.730 0.504  0.86
Co: 0.756 0.756 0.512  0.98
La: 0.500 0.000 0.500  -0.15
Co: 0.244 0.756 0.000  0.98

Results
Its total magnetization is 19.4 μB per formula unit. As for the volume: 976.0 Å³/f.u. As for the total energy: -6.19 eV/atom. The symmetry is I4/mmm (139).

***

The following is a PBE calculation of a relaxed Ag7Hg crystal, from OQMD via LeMat-Bulk.

Cell lengths 2.880, 2.880, 42.343 Å; angles 90.00, 90.00, 90.00 degrees
Fractional coordinates of all 16 atoms:
Ag: 0.000 0.000 0.275
Ag: 0.500 0.500 0.225
Ag: 0.500 0.500 0.325
Ag: 0.000 0.000 0.575
Ag: 0.000 0.000 0.775
Ag: 0.500 0.500 0.825
Ag: 0.000 0.000 0.675
Hg: 0.000 0.000 0.884
Hg: 0.500 0.500 0.116
Ag: 0.000 0.000 0.375
Ag: 0.500 0.500 0.525
Ag: 0.500 0.500 0.625
Ag: 0.500 0.500 0.425
Ag: 0.500 0.500 0.725
Ag: 0.000 0.000 0.475
Ag: 0.000 0.000 0.175

Results
As for the volume: 175.6 Å³/f.u. The energy above the most stable polymorph in this dataset is 0 meV/atom. As for the total energy: -2.47 eV/atom. The energy of formation comes out at 39 meV/atom. The symmetry is P4/nmm (129).

***

The following is a PBE calculation of a relaxed GdHoCu crystal, from OQMD via LeMat-Bulk.

Cell lengths 4.776, 4.776, 4.776 Å; angles 60.00, 60.00, 60.00 degrees
Fractional coordinates of all 3 atoms:
Ho: 0.750 0.750 0.750
Cu: 0.250 0.250 0.250
Gd: 0.000 0.000 0.000

Results
Its total magnetization is 0.0 μB per formula unit. As for the volume: 77.1 Å³/f.u. As for the total energy: -3.61 eV/atom. The energy of formation comes out at 705 meV/atom. The symmetry is F-43m (216).

***

The following is a PBE calculation of a relaxed TlPtNO crystal, from OQMD via LeMat-Bulk.

Cell lengths 4.630, 4.630, 5.169 Å; angles 90.00, 90.00, 90.00 degrees
Fractional coordinates of all 8 atoms:
Tl: 0.750 0.250 0.500
O: 0.750 0.250 0.000
N: 0.750 0.750 0.370
N: 0.250 0.250 0.630
Tl: 0.250 0.750 0.500
Pt: 0.250 0.250 0.018
Pt: 0.750 0.750 0.982
O: 0.250 0.750 0.000

Results
Its total magnetization is 0.0 μB per formula unit. As for the volume: 55.4 Å³/f.u. The energy above the most stable polymorph in this dataset is 482 meV/atom. As for the total energy: -4.73 eV/atom. The symmetry is P4/nmm (129).

***

The following is a PBE calculation of a relaxed AcPrB crystal, from OQMD via LeMat-Bulk.

Cell lengths 4.858, 4.858, 4.858 Å; angles 60.00, 60.00, 60.00 degrees
Fractional coordinates of all 3 atoms:
B: 0.000 0.000 0.000
Pr: 0.750 0.750 0.750
Ac: 0.250 0.250 0.250

Results
Its total magnetization is 0.1 μB per formula unit. As for the volume: 81.1 Å³/f.u. The energy above the most stable polymorph in this dataset is 0 meV/atom. As for the total energy: -4.88 eV/atom. The symmetry is F-43m (216).

***

The following is a PBE calculation of a relaxed TlTcAuSe3 crystal, from OQMD via LeMat-Bulk.

Cell lengths 8.717, 8.717, 8.518 Å; angles 95.65, 95.65, 25.04 degrees
Fractional coordinates of all 12 atoms:
Tc: 0.164 0.164 0.605
Se: 0.000 0.000 0.500
Se: 0.306 0.306 0.193
Se: 0.500 0.500 0.000
Tl: 0.125 0.125 0.116
Tc: 0.836 0.836 0.395
Au: 0.453 0.453 0.286
Se: 0.694 0.694 0.807
Se: 0.685 0.685 0.413
Au: 0.547 0.547 0.714
Se: 0.315 0.315 0.587
Tl: 0.875 0.875 0.884

Results
Its total magnetization is 0.0 μB per formula unit. As for the volume: 136.3 Å³/f.u. The energy above the most stable polymorph in this dataset is 92 meV/atom. As for the total energy: -4.46 eV/atom. The symmetry is C2/m (12).

***

The following is a PBE calculation of a relaxed DyCuTePbS2 crystal, from OQMD via LeMat-Bulk.

Cell lengths 7.244, 7.244, 10.952 Å; angles 90.00, 90.00, 147.78 degrees
Fractional coordinates of all 12 atoms:
Dy: 0.500 0.500 0.000
S: 0.879 0.121 0.423
Pb: 0.291 0.709 0.250
S: 0.121 0.879 0.577
Te: 0.397 0.603 0.750
Dy: 0.500 0.500 0.500
Cu: 0.023 0.977 0.750
Te: 0.603 0.397 0.250
S: 0.121 0.879 0.923
S: 0.879 0.121 0.077
Cu: 0.977 0.023 0.250
Pb: 0.709 0.291 0.750

Results
Its total magnetization is 0.0 μB per formula unit. As for the volume: 153.2 Å³/f.u. As for the total energy: -4.86 eV/atom. The symmetry is Cmcm (63).